# 1
VASP calculation (PBE-GGA) on a geometry-optimized Ti2BSb structure.

Calculated values
As for the energy relative to the elements, uncorrected: -0.08 eV per atom. Its distance to the lowest polymorph of the same formula is 0 meV per atom.

CIF file:
```
data_Ti2BSb
_symmetry_space_group_name_H-M 'I -4 2 d'
_symmetry_Int_Tables_number 122
_symmetry_space_group_name_Hall 'I -4 2bw'
_cell_length_a 6.7554
_cell_length_b 6.7554
_cell_length_c 5.7124
_cell_angle_alpha 90.00
_cell_angle_beta 90.00
_cell_angle_gamma 90.00
loop_
_atom_site_label
_atom_site_fract_x
_atom_site_fract_y
_atom_site_fract_z
Ti1 0.1872 0.2500 0.1250
B1 0.0000 0.0000 0.0000
Sb1 0.0000 0.0000 0.5000
```

# 2
VASP calculation (PBE-GGA) on a geometry-optimized Ti4BSb2 structure.

Calculated values
As for the energy relative to the elements, uncorrected: -0.50 eV per atom.

CIF file:
```
data_Ti4BSb2
_symmetry_space_group_name_H-M 'I 4/m m m'
_symmetry_Int_Tables_number 139
_symmetry_space_group_name_Hall '-I 4 2'
_cell_length_a 4.2090
_cell_length_b 4.2090
_cell_length_c 14.1999
_cell_angle_alpha 90.00
_cell_angle_beta 90.00
_cell_angle_gamma 90.00
loop_
_atom_site_label
_atom_site_fract_x
_atom_site_fract_y
_atom_site_fract_z
Ti1 0.0000 0.0000 0.1552
Ti2 0.0000 0.5000 0.0000
B1 0.0000 0.0000 0.0000
Sb1 0.0000 0.0000 0.3544
```

# 3
VASP calculation (PBE-GGA) on a geometry-optimized TiBSb3 structure.

Calculated values
As for the energy relative to the elements, uncorrected: 0.80 eV per atom. Its distance to the lowest polymorph of the same formula is 0 meV per atom.

CIF file:
```
data_TiBSb3
_symmetry_space_group_name_H-M 'P m -3 m'
_symmetry_Int_Tables_number 221
_symmetry_space_group_name_Hall '-P 4 2 3'
_cell_length_a 4.7843
_cell_length_b 4.7843
_cell_length_c 4.7843
_cell_angle_alpha 90.00
_cell_angle_beta 90.00
_cell_angle_gamma 90.00
loop_
_atom_site_label
_atom_site_fract_x
_atom_site_fract_y
_atom_site_fract_z
Ti1 0.0000 0.0000 0.0000
B1 0.5000 0.5000 0.5000
Sb1 0.0000 0.5000 0.5000
```

# 4
VASP calculation (PBE-GGA) on a geometry-optimized Ti5B2Sb structure.

Calculated values
As for the energy relative to the elements, uncorrected: -0.54 eV per atom.

CIF file:
```
data_Ti5B2Sb
_symmetry_space_group_name_H-M 'I 4/m c m'
_symmetry_Int_Tables_number 140
_symmetry_space_group_name_Hall '-I 4 2c'
_cell_length_a 6.2182
_cell_length_b 6.2182
_cell_length_c 12.2016
_cell_angle_alpha 90.00
_cell_angle_beta 90.00
_cell_angle_gamma 90.00
loop_
_atom_site_label
_atom_site_fract_x
_atom_site_fract_y
_atom_site_fract_z
Ti1 0.0000 0.0000 0.0000
Ti2 0.1736 0.3264 0.1223
B1 0.1101 0.3899 0.5000
Sb1 0.0000 0.0000 0.2500
```

# 5
VASP calculation (PBE-GGA) on a geometry-optimized Ti8BSb2 structure.

Calculated values
As for the energy relative to the elements, uncorrected: -0.25 eV per atom.

CIF file:
```
data_Ti8BSb2
_symmetry_space_group_name_H-M 'C 1 2/m 1'
_symmetry_Int_Tables_number 12
_symmetry_space_group_name_Hall '-C 2y'
_cell_length_a 15.5448
_cell_length_b 4.5206
_cell_length_c 5.5526
_cell_angle_alpha 90.00
_cell_angle_beta 107.94
_cell_angle_gamma 90.00
loop_
_atom_site_label
_atom_site_fract_x
_atom_site_fract_y
_atom_site_fract_z
Ti1 0.0045 0.0000 0.2381
Ti2 0.0809 0.5000 0.7278
Ti3 0.1345 0.5000 0.2694
Ti4 0.2217 0.0000 0.1280
B1 0.0000 0.5000 0.0000
Sb1 0.1697 0.0000 0.6079
```

# 6
VASP calculation (PBE-GGA) on a geometry-optimized Ti4BSb structure.

Calculated values
As for the energy relative to the elements, uncorrected: -0.34 eV per atom.

CIF file:
```
data_Ti4BSb
_symmetry_space_group_name_H-M 'C 1 2/c 1'
_symmetry_Int_Tables_number 15
_symmetry_space_group_name_Hall '-C 2yc'
_cell_length_a 12.9565
_cell_length_b 5.0976
_cell_length_c 6.2385
_cell_angle_alpha 90.00
_cell_angle_beta 105.90
_cell_angle_gamma 90.00
loop_
_atom_site_label
_atom_site_fract_x
_atom_site_fract_y
_atom_site_fract_z
Ti1 0.0902 0.0997 0.4452
Ti2 0.1898 0.4070 0.1563
B1 0.2500 0.2500 0.5000
Sb1 0.0000 0.3859 0.7500
```

# 7
VASP calculation (PBE-GGA) on a geometry-optimized Ti12BSb6 structure.

Calculated values
As for the energy relative to the elements, uncorrected: -0.22 eV per atom.

CIF file:
```
data_Ti12BSb6
_symmetry_space_group_name_H-M 'R -3'
_symmetry_Int_Tables_number 148
_symmetry_space_group_name_Hall '-R 3'
_cell_length_a 11.3625
_cell_length_b 11.3625
_cell_length_c 10.1183
_cell_angle_alpha 90.00
_cell_angle_beta 90.00
_cell_angle_gamma 120.00
loop_
_atom_site_label
_atom_site_fract_x
_atom_site_fract_y
_atom_site_fract_z
Ti1 0.0288 0.1628 0.3766
Ti2 0.0716 0.1753 0.8715
B1 0.0000 0.0000 0.0000
Sb1 0.0321 0.4080 0.3017
```

# 8
VASP calculation (PBE-GGA) on a geometry-optimized TiBSb2 structure.

Calculated values
As for the energy relative to the elements, uncorrected: 0.44 eV per atom.

CIF file:
```
data_TiBSb2
_symmetry_space_group_name_H-M 'I -4 2 d'
_symmetry_Int_Tables_number 122
_symmetry_space_group_name_Hall 'I -4 2bw'
_cell_length_a 6.4780
_cell_length_b 6.4780
_cell_length_c 8.4350
_cell_angle_alpha 90.00
_cell_angle_beta 90.00
_cell_angle_gamma 90.00
loop_
_atom_site_label
_atom_site_fract_x
_atom_site_fract_y
_atom_site_fract_z
Ti1 0.0000 0.0000 0.0000
B1 0.0000 0.0000 0.5000
Sb1 0.1839 0.2500 0.6250
```

# 9
VASP calculation (PBE-GGA) on a geometry-optimized Ti2BSb structure.

Calculated values
As for the energy relative to the elements, uncorrected: 0.34 eV per atom. Its distance to the lowest polymorph of the same formula is 411 meV per atom.

CIF file:
```
data_Ti2BSb
_symmetry_space_group_name_H-M 'F m -3 m'
_symmetry_Int_Tables_number 225
_symmetry_space_group_name_Hall '-F 4 2 3'
_cell_length_a 6.3319
_cell_length_b 6.3319
_cell_length_c 6.3319
_cell_angle_alpha 90.00
_cell_angle_beta 90.00
_cell_angle_gamma 90.00
loop_
_atom_site_label
_atom_site_fract_x
_atom_site_fract_y
_atom_site_fract_z
Ti1 0.2500 0.2500 0.2500
B1 0.0000 0.0000 0.0000
Sb1 0.0000 0.0000 0.5000
```

# 10
VASP calculation (PBE-GGA) on a geometry-optimized Ti5BSb3 structure.

Calculated values
As for the energy relative to the elements, uncorrected: -0.60 eV per atom.

CIF file:
```
data_Ti5BSb3
_symmetry_space_group_name_H-M 'P 63/m c m'
_symmetry_Int_Tables_number 193
_symmetry_space_group_name_Hall '-P 6c 2'
_cell_length_a 8.0700
_cell_length_b 8.0700
_cell_length_c 5.4241
_cell_angle_alpha 90.00
_cell_angle_beta 90.00
_cell_angle_gamma 120.00
loop_
_atom_site_label
_atom_site_fract_x
_atom_site_fract_y
_atom_site_fract_z
Ti1 0.0000 0.2289 0.2500
Ti2 0.3333 0.6667 0.0000
B1 0.0000 0.0000 0.0000
Sb1 0.0000 0.3970 0.7500
```

# 11
VASP calculation (PBE-GGA) on a geometry-optimized TiBSb3 structure.

Calculated values
As for the energy relative to the elements, uncorrected: 1.06 eV per atom. Its distance to the lowest polymorph of the same formula is 261 meV per atom.

CIF file:
```
data_TiBSb3
_symmetry_space_group_name_H-M 'P m -3 m'
_symmetry_Int_Tables_number 221
_symmetry_space_group_name_Hall '-P 4 2 3'
_cell_length_a 5.2269
_cell_length_b 5.2269
_cell_length_c 5.2269
_cell_angle_alpha 90.00
_cell_angle_beta 90.00
_cell_angle_gamma 90.00
loop_
_atom_site_label
_atom_site_fract_x
_atom_site_fract_y
_atom_site_fract_z
Ti1 0.0000 0.0000 0.0000
B1 0.5000 0.5000 0.5000
Sb1 0.0000 0.0000 0.5000
```

# 12
VASP calculation (PBE-GGA) on a geometry-optimized TlB2Sb structure.

Calculated values
As for the energy relative to the elements, uncorrected: 0.95 eV per atom. Its distance to the lowest polymorph of the same formula is 0 meV per atom.

CIF file:
```
data_TlB2Sb
_symmetry_space_group_name_H-M 'I -4 2 d'
_symmetry_Int_Tables_number 122
_symmetry_space_group_name_Hall 'I -4 2bw'
_cell_length_a 5.4641
_cell_length_b 5.4641
_cell_length_c 10.3977
_cell_angle_alpha 90.00
_cell_angle_beta 90.00
_cell_angle_gamma 90.00
loop_
_atom_site_label
_atom_site_fract_x
_atom_site_fract_y
_atom_site_fract_z
Tl1 0.0000 0.0000 0.0000
B1 0.2307 0.2500 0.6250
Sb1 0.0000 0.0000 0.5000
```

Look up the energy relative to the elements, uncorrected of the sixth one. -0.34 eV per atom

What is the formula in the eleventh record? TiBSb3

Which of these has the highest energy relative to the elements, uncorrected? number 11

Which value of energy relative to the elements, uncorrected does entry 5 give? -0.25 eV per atom